Entry 1:
# Tb2H8Ru GGA-PBE relaxed
# DFT total energy	-4.52	eV/atom
# Fermi-level density of states	0.116	states/eV/atom
data_Tb2H8Ru
_chemical_formula_sum 'Tb4 H16 Ru2'
_symmetry_space_group_name_H-M 'C 1 2/m 1'
_symmetry_Int_Tables_number 12
_symmetry_space_group_name_Hall '-C 2y'
_cell_length_a 13.294
_cell_length_b 3.590
_cell_length_c 4.230
_cell_angle_alpha 90.00
_cell_angle_beta 108.54
_cell_angle_gamma 90.00
loop_
_atom_site_label
_atom_site_fract_x
_atom_site_fract_y
_atom_site_fract_z
Tb1 0.146 0.000 0.146
H1 0.000 0.000 0.305
H2 0.111 0.500 0.378
H3 0.112 0.500 0.838
H4 0.238 0.000 0.738
Ru1 0.000 0.500 0.500

Entry 2:
# TbH4Ru GGA-PBE relaxed
# DFT total energy	-4.94	eV/atom
# Fermi-level density of states	0.055	states/eV/atom
# energy above the most stable polymorph in this dataset	0	meV per atom
data_TbH4Ru
_chemical_formula_sum 'Tb4 H16 Ru4'
_symmetry_space_group_name_H-M 'C 1 2/c 1'
_symmetry_Int_Tables_number 15
_symmetry_space_group_name_Hall '-C 2yc'
_cell_length_a 5.156
_cell_length_b 9.078
_cell_length_c 5.630
_cell_angle_alpha 90.00
_cell_angle_beta 110.97
_cell_angle_gamma 90.00
loop_
_atom_site_label
_atom_site_fract_x
_atom_site_fract_y
_atom_site_fract_z
Tb1 0.000 0.136 0.250
H1 0.000 0.372 0.533
H2 0.152 0.075 0.659
Ru1 0.000 0.451 0.250

Entry 3:
# TbH3Ru GGA-PBE relaxed
# DFT total energy	-5.24	eV/atom
# Fermi-level density of states	0.554	states/eV/atom
data_TbH3Ru
_chemical_formula_sum 'Tb1 H3 Ru1'
_symmetry_space_group_name_H-M 'P m -3 m'
_symmetry_Int_Tables_number 221
_symmetry_space_group_name_Hall '-P 4 2 3'
_cell_length_a 3.658
_cell_length_b 3.658
_cell_length_c 3.658
_cell_angle_alpha 90.00
_cell_angle_beta 90.00
_cell_angle_gamma 90.00
loop_
_atom_site_label
_atom_site_fract_x
_atom_site_fract_y
_atom_site_fract_z
Tb1 0.000 0.000 0.000
H1 0.000 0.500 0.500
Ru1 0.500 0.500 0.500

Entry 4:
# TbH2Ru GGA-PBE relaxed
# DFT total energy	-5.39	eV/atom
# Fermi-level density of states	0.384	states/eV/atom
data_TbH2Ru
_chemical_formula_sum 'Tb3 H6 Ru3'
_symmetry_space_group_name_H-M 'R -3 m'
_symmetry_Int_Tables_number 166
_symmetry_space_group_name_Hall '-R 3 2"'
_cell_length_a 3.6835
_cell_length_b 3.6835
_cell_length_c 13.1076
_cell_angle_alpha 90.00
_cell_angle_beta 90.00
_cell_angle_gamma 120.00
loop_
_atom_site_label
_atom_site_fract_x
_atom_site_fract_y
_atom_site_fract_z
Tb1 0.0000 0.0000 0.0000
H1 0.0000 0.0000 0.3709
Ru1 0.0000 0.0000 0.5000